No. 1
5
Lattice="5.251 0.000 0.000 0.000 5.290 0.000 0.000 0.000 5.251" Properties=species:S:1:pos:R:3 comment="Na2CaBeBi PBE relaxed" e_form_ev_per_atom=0.209 crystal_system=tetragonal magmom_total_mub_per_fu=0.00 total_energy_ha_per_atom=-0.0823 pbc="T T T"
Bi 0.000 2.645 0.000
Be 0.000 0.000 0.000
Na 0.000 0.000 2.625
Na 2.625 0.000 0.000
Ca 2.625 2.645 2.625


No. 2
11
Lattice="5.434 0.000 0.000 -2.717 4.706 0.000 0.000 0.000 5.873" Properties=species:S:1:pos:R:3 comment="Ca2Be2BiO6 PBE relaxed" crystal_system=trigonal magmom_total_mub_per_fu=0.74 total_energy_ha_per_atom=-0.2299 pbc="T T T"
Ca 0.000 3.137 2.193
Ca 2.717 1.569 3.680
O -0.650 1.760 4.539
O 1.199 1.443 1.334
O 3.367 2.947 1.334
O -0.868 4.390 4.539
O 1.518 3.263 4.539
O 3.585 0.317 1.334
Bi 0.000 0.000 0.000
Be 0.000 3.137 4.824
Be 2.717 1.569 1.049


No. 3
5
Lattice="-1.323 2.965 3.291 -5.877 -0.909 -1.544 -0.258 -3.480 3.032" Properties=species:S:1:pos:R:3 comment="CaBe2SnBi PBE relaxed" e_form_ev_per_atom=0.506 crystal_system=tetragonal magmom_total_mub_per_fu=0.00 total_energy_ha_per_atom=-0.1088 pbc="T T T"
Be -0.661 1.483 1.645
Be -0.129 -1.740 1.516
Ca -2.939 -0.454 -0.772
Sn 0.000 0.000 0.000
Bi -3.729 -0.712 2.390


No. 4
5
Lattice="-0.242 -2.892 3.956 -3.687 -3.713 -2.940 3.864 -2.548 -1.627" Properties=species:S:1:pos:R:3 comment="CaBe2TlBi PBE relaxed" e_form_ev_per_atom=0.747 crystal_system=tetragonal magmom_total_mub_per_fu=0.00 total_energy_ha_per_atom=-0.0880 pbc="T T T"
Ca -1.843 -1.857 -1.470
Bi 0.000 0.000 0.000
Be -0.121 -1.446 1.978
Be 1.932 -1.274 -0.813
Tl -0.032 -4.577 -0.305


No. 5
5
Lattice="-1.915 3.238 -2.869 0.720 -3.590 -4.531 -4.286 -1.844 0.780" Properties=species:S:1:pos:R:3 comment="CaBe2BiW PBE relaxed" e_form_ev_per_atom=1.851 crystal_system=tetragonal magmom_total_mub_per_fu=3.48 total_energy_ha_per_atom=-0.1252 pbc="T T T"
Bi 0.000 0.000 0.000
Ca 0.360 -1.795 -2.266
Be -0.958 1.619 -1.434
Be -2.143 -0.922 0.390
W -2.741 -1.098 -3.310


No. 6
5
Lattice="3.904 0.000 0.000 0.000 3.904 0.000 1.952 1.952 6.411" Properties=species:S:1:pos:R:3 comment="Be2Cd2Bi PBE relaxed" e_form_ev_per_atom=0.515 crystal_system=tetragonal magmom_total_mub_per_fu=0.00 total_energy_ha_per_atom=-0.0778 pbc="T T T"
Bi 0.000 0.000 0.000
Cd 1.952 1.952 1.574
Cd 3.904 3.904 4.837
Be 1.952 3.904 3.205
Be 3.904 1.952 3.205


No. 7
5
Lattice="-3.113 -3.644 -1.088 -0.435 -1.056 4.780 -3.778 3.124 0.346" Properties=species:S:1:pos:R:3 comment="Be3CdBi PBE relaxed" e_form_ev_per_atom=1.362 crystal_system=cubic magmom_total_mub_per_fu=0.00 e_above_lowest_polymorph_mev_per_atom=331 total_energy_ha_per_atom=-0.0674 pbc="T T T"
Bi 0.000 0.000 0.000
Be -1.556 -1.822 -0.544
Be -0.218 -0.528 2.390
Be -1.889 1.562 0.173
Cd -3.663 -0.788 2.019


No. 8
4
Lattice="0.000 3.596 3.596 3.596 0.000 3.596 3.596 3.596 0.000" Properties=species:S:1:pos:R:3 comment="BeCd2Bi PBE relaxed" e_form_ev_per_atom=0.557 crystal_system=cubic magmom_total_mub_per_fu=0.00 e_above_lowest_polymorph_mev_per_atom=158 total_energy_ha_per_atom=-0.0662 pbc="T T T"
Cd 5.394 5.394 5.394
Cd 1.798 1.798 1.798
Be 0.000 0.000 0.000
Bi 3.596 3.596 3.596


No. 9
8
Lattice="-3.600 0.089 -5.328 1.815 -6.025 -1.327 -5.494 -5.032 -0.253" Properties=species:S:1:pos:R:3 comment="BeCdBi2 PBE relaxed" e_form_ev_per_atom=0.345 crystal_system=tetragonal magmom_total_mub_per_fu=0.00 e_above_lowest_polymorph_mev_per_atom=0 total_energy_ha_per_atom=-0.1013 pbc="T T T"
Bi -5.795 -8.594 -5.931
Bi -4.677 -6.374 -2.768
Bi -3.173 -1.961 -3.229
Bi -0.912 -5.007 -1.889
Be -2.285 -7.012 -2.454
Be -0.892 -2.968 -3.328
Cd -4.993 -3.955 -4.455
Cd 0.000 0.000 0.000


No. 10
8
Lattice="-3.104 3.495 -0.015 -3.302 -2.926 1.546 -1.017 2.263 9.180" Properties=species:S:1:pos:R:3 comment="BeCd2Bi PBE relaxed" e_form_ev_per_atom=0.398 crystal_system=tetragonal magmom_total_mub_per_fu=0.00 e_above_lowest_polymorph_mev_per_atom=0 total_energy_ha_per_atom=-0.0721 pbc="T T T"
Bi 0.000 0.000 0.000
Bi -3.662 3.022 4.965
Cd -2.964 -0.535 3.258
Cd -3.440 1.668 7.587
Cd -2.349 2.094 2.480
Cd -6.094 2.439 8.095
Be -3.203 0.285 0.765
Be -3.761 -0.189 5.745


No. 11
5
Lattice="4.544 0.000 0.000 0.000 4.544 0.000 0.000 0.000 4.544" Properties=species:S:1:pos:R:3 comment="Be3CdBi PBE relaxed" e_form_ev_per_atom=1.030 crystal_system=cubic magmom_total_mub_per_fu=0.00 e_above_lowest_polymorph_mev_per_atom=0 total_energy_ha_per_atom=-0.0796 pbc="T T T"
Be 0.000 2.272 0.000
Be 2.272 0.000 0.000
Be 0.000 0.000 2.272
Cd 0.000 0.000 0.000
Bi 2.272 2.272 2.272


No. 12
4
Lattice="0.000 3.668 3.668 3.668 0.000 3.668 3.668 3.668 0.000" Properties=species:S:1:pos:R:3 comment="BeCdBi2 PBE relaxed" e_form_ev_per_atom=0.542 crystal_system=cubic magmom_total_mub_per_fu=0.00 e_above_lowest_polymorph_mev_per_atom=197 total_energy_ha_per_atom=-0.0940 pbc="T T T"
Bi 1.834 1.834 1.834
Bi 5.502 5.502 5.502
Cd 3.668 3.668 3.668
Be 0.000 0.000 0.000


No. 13
5
Lattice="-3.921 -0.019 2.835 2.403 -4.361 3.294 2.060 3.304 2.871" Properties=species:S:1:pos:R:3 comment="MgBe2CdBi PBE relaxed" e_form_ev_per_atom=1.076 crystal_system=tetragonal magmom_total_mub_per_fu=0.00 total_energy_ha_per_atom=-0.0622 pbc="T T T"
Be -1.960 -0.010 1.417
Be 1.030 1.652 1.436
Cd 1.202 -2.181 1.647
Mg 0.271 -0.538 4.500
Bi 0.000 0.000 0.000


No. 14
5
Lattice="-4.785 2.293 -2.248 -0.291 -3.002 -2.441 -3.182 -2.841 3.874" Properties=species:S:1:pos:R:3 comment="BeCdBi2P PBE relaxed" e_form_ev_per_atom=0.324 crystal_system=tetragonal magmom_total_mub_per_fu=0.00 total_energy_ha_per_atom=-0.1190 pbc="T T T"
Be -0.146 -1.501 -1.220
P 0.000 0.000 0.000
Bi -1.591 -1.421 1.937
Bi -2.392 1.146 -1.124
Cd -4.129 -1.775 -0.408


No. 15
5
Lattice="4.444 0.000 0.000 0.000 5.140 0.000 0.000 0.000 4.444" Properties=species:S:1:pos:R:3 comment="Be2CdBiPt PBE relaxed" e_form_ev_per_atom=0.856 crystal_system=tetragonal magmom_total_mub_per_fu=0.00 total_energy_ha_per_atom=-0.1030 pbc="T T T"
Cd 0.000 0.000 0.000
Be 0.000 0.000 2.222
Be 2.222 0.000 0.000
Bi 2.222 2.570 2.222
Pt 0.000 2.570 0.000


No. 16
5
Lattice="4.594 0.000 0.000 0.000 4.594 0.000 0.000 0.000 5.944" Properties=species:S:1:pos:R:3 comment="Be2CdSnBi PBE relaxed" e_form_ev_per_atom=0.892 crystal_system=tetragonal magmom_total_mub_per_fu=0.00 total_energy_ha_per_atom=-0.0867 pbc="T T T"
Be 2.297 0.000 0.000
Be 0.000 2.297 0.000
Bi 0.000 0.000 2.972
Sn 2.297 2.297 2.972
Cd 0.000 0.000 0.000


No. 17
5
Lattice="-1.306 2.302 5.597 -4.469 -3.362 0.340 3.498 -4.386 2.620" Properties=species:S:1:pos:R:3 comment="SrBeCdBi2 PBE relaxed" e_form_ev_per_atom=1.064 crystal_system=tetragonal magmom_total_mub_per_fu=0.00 total_energy_ha_per_atom=-0.0644 pbc="T T T"
Bi -0.653 1.151 2.799
Bi 1.749 -2.193 1.310
Cd -1.138 -2.722 4.279
Sr 0.000 0.000 0.000
Be -2.235 -1.681 0.170


No. 18
5
Lattice="-3.380 -2.890 4.317 2.712 -4.748 -1.054 4.227 1.463 4.289" Properties=species:S:1:pos:R:3 comment="Sr2BeCdBi PBE relaxed" e_form_ev_per_atom=0.524 crystal_system=tetragonal magmom_total_mub_per_fu=0.00 total_energy_ha_per_atom=-0.0681 pbc="T T T"
Sr 2.114 0.731 2.145
Sr -1.690 -1.445 2.158
Cd 0.000 0.000 0.000
Be 1.780 -3.087 3.776
Bi 1.356 -2.374 -0.527


No. 19
5
Lattice="-4.713 -1.395 -1.204 1.651 -4.665 -1.058 -0.819 -1.378 4.800" Properties=species:S:1:pos:R:3 comment="Be3BiCl PBE relaxed" crystal_system=cubic magmom_total_mub_per_fu=0.00 e_above_lowest_polymorph_mev_per_atom=153 total_energy_ha_per_atom=-0.0815 pbc="T T T"
Bi 0.000 0.000 0.000
Cl -1.940 -3.719 1.269
Be 0.826 -2.333 -0.529
Be -0.409 -0.689 2.400
Be -2.357 -0.697 -0.602


No. 20
4
Lattice="-0.353 -4.162 -2.889 2.344 -4.278 1.413 -2.723 -3.978 1.600" Properties=species:S:1:pos:R:3 comment="BeBi2Cl PBE relaxed" crystal_system=cubic magmom_total_mub_per_fu=0.00 e_above_lowest_polymorph_mev_per_atom=31 total_energy_ha_per_atom=-0.1116 pbc="T T T"
Bi -0.183 -3.105 0.031
Bi -0.549 -9.314 0.093
Cl -0.366 -6.209 0.062
Be 0.000 0.000 0.000